## MnSb2Br (PBE)

Data for a geometry-optimized MnSb2Br structure.

Calculated values
ΔE to the lowest computed polymorph in meV/atom: 315
Energy relative to the elements, uncorrected in kJ/mol of formula units: 85

a b c (Å): 5.8700 5.8700 6.2499
angles (deg): 90.00 90.00 90.00
With the nearest neighbours (Å) after each atom.
Space group I4/mmm (No. 139)
Inequivalent atoms, fractional coordinates:
Mn (0.0000, 0.0000, 0.0000)  4 Sb 2.94, 2 Br 3.12
Sb (0.0000, 0.5000, 0.0000)  2 Br 2.94, 2 Mn 2.94, 2 Sb 3.12
Br (0.0000, 0.0000, 0.5000)  4 Sb 2.94, 2 Mn 3.12